A plane-wave DFT calculation with PBE was carried out for a relaxed structure of Ta4Re11.

Structure (POSCAR):
```
Ta4Re11
1.0
9.672 0.000 0.000
0.000 9.672 0.000
0.000 0.000 5.073
Ta Re
8 22
Direct
0.183 0.183 0.250 Ta
0.183 0.183 0.750 Ta
0.317 0.683 0.250 Ta
0.317 0.683 0.750 Ta
0.683 0.317 0.250 Ta
0.683 0.317 0.750 Ta
0.817 0.817 0.250 Ta
0.817 0.817 0.750 Ta
0.000 0.000 0.000 Re
0.035 0.634 0.500 Re
0.065 0.738 0.000 Re
0.101 0.899 0.500 Re
0.134 0.465 0.000 Re
0.238 0.435 0.500 Re
0.262 0.935 0.000 Re
0.366 0.965 0.500 Re
0.399 0.399 0.000 Re
0.435 0.238 0.500 Re
0.465 0.134 0.000 Re
0.500 0.500 0.500 Re
0.535 0.866 0.000 Re
0.565 0.762 0.500 Re
0.601 0.601 0.000 Re
0.634 0.035 0.500 Re
0.738 0.065 0.000 Re
0.762 0.565 0.500 Re
0.866 0.535 0.000 Re
0.899 0.101 0.500 Re
0.935 0.262 0.000 Re
0.965 0.366 0.500 Re
```

Space group: P4_2/mnm, No. 136
Energy of formation: -0.025 eV per atom
Crystal system: tetragonal
Spin magnetization: 0.00 μB per atom



A plane-wave DFT calculation with PBE was carried out for a relaxed structure of Zr2Al2Ni3Pd.

Structure (POSCAR):
```
Zr2Al2Ni3Pd
1.0
4.156 0.000 0.000
-2.078 3.599 0.000
0.000 0.000 8.278
Zr Al Ni Pd
2 2 3 1
Direct
0.000 0.000 0.000 Zr
0.333 0.667 0.481 Zr
0.667 0.333 0.242 Al
0.667 0.333 0.722 Al
0.000 0.000 0.323 Ni
0.000 0.000 0.649 Ni
0.333 0.667 0.161 Ni
0.333 0.667 0.827 Pd
```

Space group: P3m1, No. 156
Crystal system: trigonal
Electronic total energy: -6.473 eV/atom
Spin magnetization: 0.00 μB per atom



A plane-wave DFT calculation with PBE was carried out for a relaxed structure of TaBiOs2.

Structure (POSCAR):
```
TaBiOs2
1.0
0.000 3.281 3.281
3.281 0.000 3.281
3.281 3.281 0.000
Ta Bi Os
1 1 2
Direct
0.000 0.000 0.000 Ta
0.750 0.750 0.750 Bi
0.250 0.250 0.250 Os
0.500 0.500 0.500 Os
```

Space group: F-43m, No. 216
Crystal system: cubic
Electronic total energy: -8.753 eV/atom
Spin magnetization: 0.01 μB per atom



A plane-wave DFT calculation with PBE was carried out for a relaxed structure of Nd3Mg3Tl2Ag.

Structure (POSCAR):
```
Nd3Mg3Tl2Ag
1.0
7.741 0.000 0.000
-3.871 6.704 0.000
0.000 0.000 4.626
Nd Mg Tl Ag
3 3 2 1
Direct
0.000 0.413 0.000 Nd
0.413 0.000 0.000 Nd
0.587 0.587 0.000 Nd
0.000 0.764 0.500 Mg
0.236 0.236 0.500 Mg
0.764 0.000 0.500 Mg
0.333 0.667 0.500 Tl
0.667 0.333 0.500 Tl
0.000 0.000 0.000 Ag
```

Space group: P-62m, No. 189
Crystal system: hexagonal
Electronic total energy: -3.290 eV/atom
Spin magnetization: 0.00 μB per atom



A plane-wave DFT calculation with PBE was carried out for a relaxed structure of YCuAsAu.

Structure (POSCAR):
```
YCuAsAu
1.0
0.000 3.388 3.388
3.388 0.000 3.388
3.388 3.388 0.000
Y Cu As Au
1 1 1 1
Direct
0.000 0.000 0.000 Y
0.500 0.500 0.500 Cu
0.250 0.250 0.250 As
0.750 0.750 0.750 Au
```

Space group: F-43m, No. 216
Crystal system: cubic
Spin magnetization: 0.00 μB per atom
Polymorph energy (0 for the lowest one): 0.0 meV/atom



A plane-wave DFT calculation with PBE was carried out for a relaxed structure of La3Zn4.

Structure (POSCAR):
```
La3Zn4
1.0
8.998 0.000 0.000
-4.499 7.792 0.000
0.000 0.000 4.693
La Zn
6 8
Direct
0.074 0.439 0.250 La
0.365 0.926 0.250 La
0.439 0.365 0.750 La
0.561 0.635 0.250 La
0.635 0.074 0.750 La
0.926 0.561 0.750 La
0.029 0.193 0.750 Zn
0.164 0.971 0.750 Zn
0.193 0.164 0.250 Zn
0.333 0.667 0.750 Zn
0.667 0.333 0.250 Zn
0.807 0.836 0.750 Zn
0.836 0.029 0.250 Zn
0.971 0.807 0.250 Zn
```

Space group: P6_3/m, No. 176
Energy of formation: -0.198 eV per atom
Crystal system: hexagonal
Spin magnetization: 0.00 μB per atom
Polymorph energy (0 for the lowest one): 0.0 meV/atom



A plane-wave DFT calculation with PBE was carried out for a relaxed structure of SrPt2O6.

Structure (POSCAR):
```
SrPt2O6
1.0
5.286 0.000 0.000
-2.643 4.578 0.000
0.000 0.000 5.182
Sr Pt O
1 2 6
Direct
0.000 0.000 0.000 Sr
0.333 0.667 0.500 Pt
0.667 0.333 0.500 Pt
0.000 0.371 0.709 O
0.000 0.629 0.291 O
0.371 0.000 0.709 O
0.371 0.371 0.291 O
0.629 0.000 0.291 O
0.629 0.629 0.709 O
```

Space group: P-31m, No. 162
Crystal system: trigonal
Electronic total energy: -5.845 eV/atom
Spin magnetization: 0.22 μB per atom



A plane-wave DFT calculation with PBE was carried out for a relaxed structure of PmBe2.

Structure (POSCAR):
```
PmBe2
1.0
0.000 6.710 6.710
6.710 0.000 6.710
6.710 6.710 0.000
Pm Be
2 4
Direct
0.125 0.125 0.125 Pm
0.875 0.875 0.875 Pm
0.000 0.000 0.000 Be
0.000 0.000 0.500 Be
0.000 0.500 0.000 Be
0.500 0.000 0.000 Be
```

Space group: Fd-3m, No. 227
Crystal system: cubic
Spin magnetization: 0.98 μB per atom
Polymorph energy (0 for the lowest one): 2347.0 meV/atom



A plane-wave DFT calculation with PBE was carried out for a relaxed structure of Na3Be2Ir3.

Structure (POSCAR):
```
Na3Be2Ir3
1.0
4.637 0.000 0.000
0.000 4.154 0.000
-0.774 0.000 6.943
Na Be Ir
3 2 3
Direct
0.000 0.000 0.000 Na
0.035 0.500 0.280 Na
0.965 0.500 0.720 Na
0.283 0.000 0.474 Be
0.717 0.000 0.526 Be
0.464 0.000 0.776 Ir
0.500 0.500 0.000 Ir
0.536 0.000 0.224 Ir
```

Space group: P2/m, No. 10
Crystal system: monoclinic
Electronic total energy: -4.423 eV/atom
Spin magnetization: 0.02 μB per atom



A plane-wave DFT calculation with PBE was carried out for a relaxed structure of NaTbRe2O8.

Structure (POSCAR):
```
NaTbRe2O8
1.0
-2.595 2.595 5.561
2.595 -2.595 5.561
2.595 2.595 -5.561
Na Tb Re O
1 1 2 8
Direct
0.000 0.000 0.000 Na
0.750 0.250 0.500 Tb
0.250 0.750 0.500 Re
0.500 0.500 0.000 Re
0.082 0.003 0.423 O
0.166 0.573 0.914 O
0.341 0.918 0.922 O
0.427 0.341 0.593 O
0.580 0.659 0.577 O
0.659 0.252 0.086 O
0.748 0.834 0.407 O
0.997 0.420 0.078 O
```

Space group: I-4, No. 82
Crystal system: tetragonal
Electronic total energy: -7.831 eV/atom
Spin magnetization: 0.17 μB per atom



A plane-wave DFT calculation with PBE was carried out for a relaxed structure of AgP5Os3.

Structure (POSCAR):
```
AgP5Os3
1.0
5.799 0.000 0.000
-2.900 5.022 0.000
0.000 0.000 5.363
Ag P Os
1 5 3
Direct
0.000 0.000 0.000 Ag
0.000 0.000 0.500 P
0.333 0.667 0.200 P
0.333 0.667 0.800 P
0.667 0.333 0.200 P
0.667 0.333 0.800 P
0.000 0.500 0.500 Os
0.500 0.000 0.500 Os
0.500 0.500 0.500 Os
```

Space group: P6/mmm, No. 191
Crystal system: hexagonal
Electronic total energy: -6.714 eV/atom
Spin magnetization: 0.00 μB per atom



A plane-wave DFT calculation with PBE was carried out for a relaxed structure of TcHg2Pd.

Structure (POSCAR):
```
TcHg2Pd
1.0
0.000 3.319 3.319
3.319 0.000 3.319
3.319 3.319 0.000
Tc Hg Pd
1 2 1
Direct
0.000 0.000 0.000 Tc
0.500 0.500 0.500 Hg
0.750 0.750 0.750 Hg
0.250 0.250 0.250 Pd
```

Space group: F-43m, No. 216
Energy of formation: 0.488 eV per atom
Crystal system: cubic
Spin magnetization: 0.64 μB per atom



A plane-wave DFT calculation with PBE was carried out for a relaxed structure of LaGdGa4.

Structure (POSCAR):
```
LaGdGa4
1.0
2.125 -9.595 0.000
2.125 9.595 0.000
0.000 0.000 6.710
La Gd Ga
2 2 8
Direct
0.090 0.910 0.750 La
0.910 0.090 0.250 La
0.235 0.765 0.250 Gd
0.765 0.235 0.750 Gd
0.074 0.926 0.250 Ga
0.354 0.646 0.552 Ga
0.354 0.646 0.948 Ga
0.500 0.500 0.000 Ga
0.500 0.500 0.500 Ga
0.646 0.354 0.052 Ga
0.646 0.354 0.448 Ga
0.926 0.074 0.750 Ga
```

Space group: Cmcm, No. 63
Crystal system: orthorhombic
Spin magnetization: 0.00 μB per atom
Polymorph energy (0 for the lowest one): 94.8 meV/atom



A plane-wave DFT calculation with PBE was carried out for a relaxed structure of K2PdICl3.

Structure (POSCAR):
```
K2PdICl3
1.0
4.262 0.000 0.000
0.000 5.399 4.883
0.000 -5.399 4.883
K Pd I Cl
2 1 1 3
Direct
0.000 0.225 0.775 K
0.000 0.775 0.225 K
0.500 0.747 0.747 Pd
0.500 0.481 0.481 I
0.500 0.530 0.963 Cl
0.500 0.963 0.530 Cl
0.500 0.992 0.992 Cl
```

Space group: Amm2, No. 38
Crystal system: orthorhombic
Electronic total energy: -3.327 eV/atom



A plane-wave DFT calculation with PBE was carried out for a relaxed structure of Pu2Al2Zn15.

Structure (POSCAR):
```
Pu2Al2Zn15
1.0
4.474 2.583 4.368
-4.474 2.583 4.368
0.000 -5.166 4.368
Pu Al Zn
2 2 15
Direct
0.165 0.165 0.165 Pu
0.835 0.835 0.835 Pu
0.398 0.398 0.398 Al
0.602 0.602 0.602 Al
0.000 0.500 0.500 Zn
0.146 0.146 0.663 Zn
0.146 0.663 0.146 Zn
0.199 0.500 0.801 Zn
0.199 0.801 0.500 Zn
0.337 0.854 0.854 Zn
0.500 0.000 0.500 Zn
0.500 0.199 0.801 Zn
0.500 0.500 0.000 Zn
0.500 0.801 0.199 Zn
0.663 0.146 0.146 Zn
0.801 0.199 0.500 Zn
0.801 0.500 0.199 Zn
0.854 0.337 0.854 Zn
0.854 0.854 0.337 Zn
```

Space group: R-3m, No. 166
Crystal system: trigonal
Electronic total energy: -2.813 eV/atom
Spin magnetization: 0.00 μB per atom



A plane-wave DFT calculation with PBE was carried out for a relaxed structure of SmSbMo.

Structure (POSCAR):
```
SmSbMo
1.0
0.000 3.556 3.556
3.556 0.000 3.556
3.556 3.556 0.000
Sm Sb Mo
1 1 1
Direct
0.000 0.000 0.000 Sm
0.250 0.250 0.250 Sb
0.750 0.750 0.750 Mo
```

Space group: F-43m, No. 216
Crystal system: cubic
Spin magnetization: 1.22 μB per atom
Polymorph energy (0 for the lowest one): 640.0 meV/atom



A plane-wave DFT calculation with PBE was carried out for a relaxed structure of GdYI3.

Structure (POSCAR):
```
GdYI3
1.0
9.493 -2.051 0.000
9.493 2.051 0.000
-6.344 0.000 9.996
Gd Y I
2 2 6
Direct
0.071 0.071 0.458 Gd
0.929 0.929 0.542 Gd
0.372 0.372 0.224 Y
0.628 0.628 0.776 Y
0.163 0.163 0.004 I
0.283 0.283 0.378 I
0.459 0.459 0.765 I
0.541 0.541 0.235 I
0.717 0.717 0.622 I
0.837 0.837 0.996 I
```

Space group: C2/m, No. 12
Crystal system: monoclinic
Electronic total energy: -4.248 eV/atom
Spin magnetization: 0.00 μB per atom



A plane-wave DFT calculation with PBE was carried out for a relaxed structure of Li2ZnCdBi2.

Structure (POSCAR):
```
Li2ZnCdBi2
1.0
8.168 0.000 0.000
0.000 4.694 0.000
-2.619 0.000 15.363
Li Zn Cd Bi
8 4 4 8
Direct
0.000 0.000 0.000 Li
0.006 0.500 0.495 Li
0.241 0.000 0.742 Li
0.248 0.500 0.245 Li
0.488 0.000 0.488 Li
0.500 0.500 0.998 Li
0.747 0.000 0.241 Li
0.757 0.500 0.744 Li
0.062 0.500 0.679 Zn
0.064 0.000 0.185 Zn
0.307 0.500 0.428 Zn
0.559 0.500 0.183 Zn
0.309 0.000 0.934 Cd
0.558 0.000 0.678 Cd
0.812 0.000 0.430 Cd
0.815 0.500 0.935 Cd
0.122 0.500 0.861 Bi
0.133 0.000 0.367 Bi
0.359 0.500 0.611 Bi
0.375 0.000 0.126 Bi
0.610 0.500 0.365 Bi
0.623 0.000 0.869 Bi
0.878 0.500 0.129 Bi
0.886 0.000 0.622 Bi
```

Space group: Pm, No. 6
Crystal system: monoclinic
Electronic total energy: -2.590 eV/atom



A plane-wave DFT calculation with PBE was carried out for a relaxed structure of KPmSeO.

Structure (POSCAR):
```
KPmSeO
1.0
4.668 0.000 0.000
0.000 8.273 0.000
0.000 0.000 6.653
K Pm Se O
2 2 2 2
Direct
0.000 0.201 0.000 K
0.000 0.799 0.500 K
0.500 0.374 0.420 Pm
0.500 0.626 0.920 Pm
0.000 0.194 0.514 Se
0.000 0.806 0.014 Se
0.500 0.403 0.094 O
0.500 0.597 0.594 O
```

Space group: Pmc2_1, No. 26
Crystal system: orthorhombic
Spin magnetization: 0.00 μB per atom
Polymorph energy (0 for the lowest one): 129.2 meV/atom



A plane-wave DFT calculation with PBE was carried out for a relaxed structure of SnAu9.

Structure (POSCAR):
```
SnAu9
1.0
3.024 0.000 0.000
0.000 3.024 0.000
0.000 0.000 52.637
Sn Au
2 18
Direct
0.250 0.250 0.139 Sn
0.750 0.750 0.861 Sn
0.250 0.250 0.219 Au
0.250 0.250 0.294 Au
0.250 0.250 0.369 Au
0.250 0.250 0.444 Au
0.250 0.250 0.519 Au
0.250 0.250 0.593 Au
0.250 0.250 0.668 Au
0.250 0.250 0.743 Au
0.250 0.250 0.820 Au
0.750 0.750 0.180 Au
0.750 0.750 0.257 Au
0.750 0.750 0.332 Au
0.750 0.750 0.407 Au
0.750 0.750 0.481 Au
0.750 0.750 0.556 Au
0.750 0.750 0.631 Au
0.750 0.750 0.706 Au
0.750 0.750 0.781 Au
```

Space group: P4/nmm, No. 129
Crystal system: tetragonal
Polymorph energy (0 for the lowest one): 4.5 meV/atom